No. 1
# PBE Cs2CdInAs, relaxed
# - density (g/cm³) = 3.42
# - ΔE_f (eV per formula unit) = -0.2
# - D(E_F) (states/eV/cell) = 5.16
data_Cs2CdInAs
_chemical_formula_sum 'Cs2 Cd1 In1 As1'
_cell_length_a 7.215
_cell_length_b 7.215
_cell_length_c 5.299
_cell_angle_alpha 90.00
_cell_angle_beta 90.00
_cell_angle_gamma 90.00
_symmetry_space_group_name_H-M 'P 4/m m m'
_symmetry_Int_Tables_number 123
_symmetry_space_group_name_Hall '-P 4 2'
loop_
_atom_site_label
_atom_site_type_symbol
_atom_site_fract_x
_atom_site_fract_y
_atom_site_fract_z
_atom_site_occupancy
Cs1 Cs 0.000 0.500 0.000 1
Cd1 Cd 0.000 0.000 0.500 1
In1 In 0.500 0.500 0.500 1
As1 As 0.500 0.500 0.000 1

No. 2
# PBE CsCdInAs2, relaxed
# - density (g/cm³) = 4.94
# - ΔE_f (eV per formula unit) = -1.7
# - D(E_F) (states/eV/cell) = 0.96
data_CsCdInAs2
_chemical_formula_sum 'Cs4 Cd4 In4 As8'
_cell_length_a 14.520
_cell_length_b 4.523
_cell_length_c 10.571
_cell_angle_alpha 90.00
_cell_angle_beta 98.94
_cell_angle_gamma 90.00
_symmetry_space_group_name_H-M 'C 1 2/m 1'
_symmetry_Int_Tables_number 12
_symmetry_space_group_name_Hall '-C 2y'
loop_
_atom_site_label
_atom_site_type_symbol
_atom_site_fract_x
_atom_site_fract_y
_atom_site_fract_z
_atom_site_occupancy
Cs1 Cs 0.156 0.000 0.165 1
Cd1 Cd 0.177 0.000 0.573 1
In1 In 0.049 0.500 0.682 1
As1 As 0.119 0.000 0.808 1
As2 As 0.128 0.500 0.438 1

No. 3
# PBE CsCdAsIr, relaxed
# - density (g/cm³) = 7.00
# - ΔE_f (eV per formula unit) = -1.2
# - D(E_F) (states/eV/cell) = 2.77
data_CsCdAsIr
_chemical_formula_sum 'Cs2 Cd2 As2 Ir2'
_cell_length_a 4.115
_cell_length_b 4.115
_cell_length_c 14.368
_cell_angle_alpha 90.00
_cell_angle_beta 90.00
_cell_angle_gamma 90.00
_symmetry_space_group_name_H-M 'P 4/n m m'
_symmetry_Int_Tables_number 129
loop_
_symmetry_equiv_pos_as_xyz
'x,y,z'
'-x,-y,-z'
'-y+1/2,x,z'
'y+1/2,-x,-z'
'-x+1/2,-y+1/2,z'
'x+1/2,y+1/2,-z'
'y,-x+1/2,z'
'-y,x+1/2,-z'
'x+1/2,-y,-z'
'-x+1/2,y,z'
'-y,-x,-z'
'y,x,z'
'-x,y+1/2,-z'
'x,-y+1/2,z'
'y+1/2,x+1/2,-z'
'-y+1/2,-x+1/2,z'
loop_
_atom_site_label
_atom_site_type_symbol
_atom_site_fract_x
_atom_site_fract_y
_atom_site_fract_z
_atom_site_occupancy
Cs1 Cs 0.250 0.250 0.247 1
Cd1 Cd 0.250 0.750 0.500 1
As1 As 0.250 0.250 0.904 1
Ir1 Ir 0.250 0.750 0.000 1

No. 4
# PBE CsCd2AsIr, relaxed
# - density (g/cm³) = 7.36
# - ΔE_f (eV per formula unit) = -0.3
# - D(E_F) (states/eV/cell) = 3.67
data_CsCd2AsIr
_chemical_formula_sum 'Cs1 Cd2 As1 Ir1'
_cell_length_a 5.417
_cell_length_b 5.417
_cell_length_c 4.805
_cell_angle_alpha 90.00
_cell_angle_beta 90.00
_cell_angle_gamma 90.00
_symmetry_space_group_name_H-M 'P 4/m m m'
_symmetry_Int_Tables_number 123
_symmetry_space_group_name_Hall '-P 4 2'
loop_
_atom_site_label
_atom_site_type_symbol
_atom_site_fract_x
_atom_site_fract_y
_atom_site_fract_z
_atom_site_occupancy
Cs1 Cs 0.000 0.000 0.000 1
Cd1 Cd 0.000 0.500 0.500 1
As1 As 0.500 0.500 0.000 1
Ir1 Ir 0.500 0.500 0.500 1

No. 5
# PBE Cs2KCdAs2, relaxed
# - density (g/cm³) = 4.06
# - ΔE_f (eV per formula unit) = -2.0
# - D(E_F) (states/eV/cell) = 25.81
data_Cs2KCdAs2
_chemical_formula_sum 'Cs8 K4 Cd4 As8'
_cell_length_a 7.906
_cell_length_b 16.270
_cell_length_c 7.212
_cell_angle_alpha 90.00
_cell_angle_beta 90.00
_cell_angle_gamma 90.00
_symmetry_space_group_name_H-M 'I b a m'
_symmetry_Int_Tables_number 72
_symmetry_space_group_name_Hall '-I 2 2c'
loop_
_atom_site_label
_atom_site_type_symbol
_atom_site_fract_x
_atom_site_fract_y
_atom_site_fract_z
_atom_site_occupancy
Cs1 Cs 0.228 0.175 0.000 1
K1 K 0.000 0.500 0.250 1
Cd1 Cd 0.000 0.000 0.250 1
As1 As 0.196 0.091 0.500 1

No. 6
# PBE Cs2LiCdAs2, relaxed
# - density (g/cm³) = 4.54
# - ΔE_f (eV per formula unit) = -2.5
# - D(E_F) (states/eV/cell) = 19.52
data_Cs2LiCdAs2
_chemical_formula_sum 'Cs8 Li4 Cd4 As8'
_cell_length_a 6.696
_cell_length_b 17.204
_cell_length_c 6.788
_cell_angle_alpha 90.00
_cell_angle_beta 90.00
_cell_angle_gamma 90.00
_symmetry_space_group_name_H-M 'I b a m'
_symmetry_Int_Tables_number 72
_symmetry_space_group_name_Hall '-I 2 2c'
loop_
_atom_site_label
_atom_site_type_symbol
_atom_site_fract_x
_atom_site_fract_y
_atom_site_fract_z
_atom_site_occupancy
Cs1 Cs 0.244 0.169 0.000 1
Li1 Li 0.000 0.000 0.250 1
Cd1 Cd 0.000 0.500 0.250 1
As1 As 0.249 0.417 0.000 1

No. 7
# PBE CsMgCdAs, relaxed
# - density (g/cm³) = 4.04
# - ΔE_f (eV per formula unit) = -1.6
# - D(E_F) (states/eV/cell) = 4.97
data_CsMgCdAs
_chemical_formula_sum 'Cs2 Mg2 Cd2 As2'
_cell_length_a 4.487
_cell_length_b 4.487
_cell_length_c 14.076
_cell_angle_alpha 90.00
_cell_angle_beta 90.00
_cell_angle_gamma 90.00
_symmetry_space_group_name_H-M 'P 4/n m m'
_symmetry_Int_Tables_number 129
loop_
_symmetry_equiv_pos_as_xyz
'x,y,z'
'-x,-y,-z'
'-y+1/2,x,z'
'y+1/2,-x,-z'
'-x+1/2,-y+1/2,z'
'x+1/2,y+1/2,-z'
'y,-x+1/2,z'
'-y,x+1/2,-z'
'x+1/2,-y,-z'
'-x+1/2,y,z'
'-y,-x,-z'
'y,x,z'
'-x,y+1/2,-z'
'x,-y+1/2,z'
'y+1/2,x+1/2,-z'
'-y+1/2,-x+1/2,z'
loop_
_atom_site_label
_atom_site_type_symbol
_atom_site_fract_x
_atom_site_fract_y
_atom_site_fract_z
_atom_site_occupancy
Cs1 Cs 0.250 0.250 0.240 1
Mg1 Mg 0.250 0.750 0.000 1
Cd1 Cd 0.250 0.750 0.500 1
As1 As 0.250 0.250 0.892 1

No. 8
# PBE Cs2MgCdAs, relaxed
# - density (g/cm³) = 2.94
# - ΔE_f (eV per formula unit) = -0.6
# - D(E_F) (states/eV/cell) = 2.17
data_Cs2MgCdAs
_chemical_formula_sum 'Cs2 Mg1 Cd1 As1'
_cell_length_a 7.343
_cell_length_b 7.343
_cell_length_c 4.993
_cell_angle_alpha 90.00
_cell_angle_beta 90.00
_cell_angle_gamma 90.00
_symmetry_space_group_name_H-M 'P 4/m m m'
_symmetry_Int_Tables_number 123
_symmetry_space_group_name_Hall '-P 4 2'
loop_
_atom_site_label
_atom_site_type_symbol
_atom_site_fract_x
_atom_site_fract_y
_atom_site_fract_z
_atom_site_occupancy
Cs1 Cs 0.000 0.500 0.000 1
Mg1 Mg 0.000 0.000 0.500 1
Cd1 Cd 0.500 0.500 0.500 1
As1 As 0.000 0.000 0.000 1

- Which formula does entry 5 have?
  Cs2KCdAs2